Density functional theory data (PBE) for crystalline Nb5GaIr4 at its relaxed geometry.

Properties
calculated formation energy = -0.481 eV per atom

Lattice parameters (Å, degrees): 2.874 2.874 19.736 90.00 90.00 90.00
Atoms (fractional coordinates):
Nb  0.500  0.500  0.105
Nb  0.500  0.500  0.302
Nb  0.500  0.500  0.500
Nb  0.500  0.500  0.698
Nb  0.500  0.500  0.895
Ga  0.000  0.000  0.000
Ir  0.000  0.000  0.201
Ir  0.000  0.000  0.402
Ir  0.000  0.000  0.598
Ir  0.000  0.000  0.799